VASP calculation (PBE) on an optimized crystal structure of ScTi2N.

Calculated values
* SG: I-42d, No. 122
* uncorrected formation energy: -404 meV per atom
* total DFT energy (no corrections): -64.126 eV for the cell shown

Lattice parameters (Å, degrees): 6.0831 6.0831 5.9837 59.45 59.45 90.00
Closest atoms and distances in Å follow each position.
Fractional positions:
Sc 0.0000 0.0000 0.0000  8 Ti 3.16-3.50
Sc 0.7500 0.2500 0.5000  8 Ti 3.16-3.50
N 0.5000 0.5000 0.0000  4 Ti 1.90
N 0.2500 0.7500 0.5000  4 Ti 1.90
Ti 0.4530 0.1250 0.2500  2 N 1.90
Ti 0.2970 0.6250 0.2500  2 N 1.90
Ti 0.3750 0.5470 0.7500  2 N 1.90
Ti 0.8750 0.7030 0.7500  2 N 1.90